{"formula": "Na2Hg2WO6", "functional": "PBE with a Hubbard U", "state": "relaxed", "cell": [[3.136, -4.636, 0.000], [3.136, 4.636, 0.000], [-2.986, 0.000, 5.374]], "species": ["Na", "Na", "Hg", "Hg", "W", "O", "O", "O", "O", "O", "O"], "fractional_positions": [[0.151, 0.849, 0.000], [0.849, 0.151, 0.000], [0.305, 0.695, 0.500], [0.695, 0.305, 0.500], [0.500, 0.500, 0.000], [0.124, 0.422, 0.797], [0.341, 0.341, 0.217], [0.422, 0.124, 0.797], [0.578, 0.876, 0.203], [0.659, 0.659, 0.783], [0.876, 0.578, 0.203]], "energy_ev_per_cell": -53.71, "rho_g_cm3": 7.726}